This record from the Alexandria database describes crystalline KNaAc at its relaxed geometry. The functional is PBE-GGA.

a b c (Å): 4.1127 4.1127 17.5643
angles (deg): 90.00 90.00 90.00
Closest atoms and distances in Å follow each position.
Sites, in units of the cell vectors:
K 0.0000 0.5000 0.6059  4 K 4.11, 4 Na 4.14
K 0.5000 0.0000 0.3941  4 K 4.11, 4 Na 4.14
Na 0.5000 0.0000 0.7739  4 Ac 3.93, 4 Na 4.11, 4 K 4.14
Na 0.0000 0.5000 0.2261  4 Ac 3.93, 4 Na 4.11, 4 K 4.14
Ac 0.0000 0.5000 0.9244  4 Na 3.93, 8 Ac 3.94-4.11
Ac 0.5000 0.0000 0.0756  4 Na 3.93, 8 Ac 3.94-4.11

Computed properties:
- Calculated formation energy: 0.08 eV per atom
- Final energy: -12.59 eV/cell
- Relative energy among the computed polymorphs: 0.000 eV/f.u.
- ρ: 3.23 g/cm³
- Magnetic moment: 0.0000 μB per atom

***

This record from the Alexandria database describes crystalline KNaAc at its relaxed geometry. The functional is PBE-GGA.

a b c (Å): 3.9770 3.9770 10.5561
angles (deg): 90.00 90.00 120.00
Closest atoms and distances in Å follow each position.
Sites, in units of the cell vectors:
Na 0.3333 0.6667 0.6822  3 Ac 3.91, 6 Na 3.98, 3 K 4.32
Ac 0.0000 0.0000 0.9823  3 Na 3.91, 6 Ac 3.98, 3 K 4.38
K 0.6667 0.3333 0.3355  6 K 3.98, 3 Na 4.32, 3 Ac 4.38

Computed properties:
- Calculated formation energy: 0.16 eV per atom
- Final energy: -6.03 eV/cell
- Relative energy among the computed polymorphs: 0.261 eV/f.u.
- ρ: 3.32 g/cm³
- Magnetic moment: 0.0000 μB per atom

***

This record from the Alexandria database describes crystalline K2Na2AcO4 at its relaxed geometry. The functional is PBE-GGA.

a b c (Å): 3.8469 9.1354 7.6435
angles (deg): 133.77 104.58 90.00
Closest atoms and distances in Å follow each position.
Sites, in units of the cell vectors:
K 0.1824 0.5728 0.3649  5 O 2.78-2.89
K 0.8176 0.4272 0.6351  5 O 2.78-2.89
Na 0.6454 0.9085 0.2909  4 O 2.34-2.37
Na 0.3546 0.0915 0.7091  4 O 2.34-2.37
Ac 0.0000 0.0000 0.0000  6 O 2.43-2.54
O 0.2069 0.1140 0.4138  3 Na 2.34-2.37, 1 Ac 2.43
O 0.7931 0.8860 0.5862  3 Na 2.34-2.37, 1 Ac 2.43
O 0.4339 0.7582 0.8679  1 Na 2.35, 2 Ac 2.54
O 0.5661 0.2418 0.1321  1 Na 2.35, 2 Ac 2.54

Computed properties:
- Final energy: -44.34 eV/cell
- ρ: 3.79 g/cm³
- Energy relative to the elements, uncorrected: -1.73 eV/atom
- Magnetic moment: 0.1161 μB per atom

***

This record from the Alexandria database describes crystalline KNaAc2Se4 at its relaxed geometry. The functional is PBE-GGA.

a b c (Å): 9.1036 9.1036 9.0371
angles (deg): 119.75 119.75 90.09
Closest atoms and distances in Å follow each position.
Sites, in units of the cell vectors:
K 0.0000 0.5000 0.0000  6 Se 3.32-3.33
K 0.0000 0.5000 0.5000  6 Se 3.32-3.33
Na 0.5000 0.5000 0.5000  6 Se 3.29-3.31
Na 0.0000 0.0000 0.0000  6 Se 3.29-3.31
Ac 0.5000 0.0000 0.0000  6 Se 3.11-3.12
Ac 0.5000 0.0000 0.5000  6 Se 3.11-3.12
Ac 0.0000 0.0000 0.5000  6 Se 3.14-3.15
Ac 0.5000 0.5000 0.0000  6 Se 3.14-3.15
Se 0.2733 0.7601 0.0167  3 Ac 3.11-3.14, 1 Na 3.31, 2 K 3.33
Se 0.7399 0.2267 0.4833  3 Ac 3.11-3.14, 1 Na 3.31, 2 K 3.33
Se 0.2601 0.7733 0.5167  3 Ac 3.11-3.14, 1 Na 3.31, 2 K 3.33
Se 0.7267 0.2399 0.9833  3 Ac 3.11-3.14, 1 Na 3.31, 2 K 3.33
Se 0.7422 0.7579 0.0108  3 Ac 3.12-3.15, 2 Na 3.29, 1 K 3.32
Se 0.7421 0.7578 0.4892  3 Ac 3.12-3.15, 2 Na 3.29, 1 K 3.32
Se 0.2579 0.2422 0.5108  3 Ac 3.12-3.15, 2 Na 3.29, 1 K 3.32
Se 0.2578 0.2421 0.9892  3 Ac 3.12-3.15, 2 Na 3.29, 1 K 3.32

Computed properties:
- Final energy: -77.28 eV/cell
- ρ: 5.18 g/cm³
- Energy relative to the elements, uncorrected: -1.76 eV/atom
- Magnetic moment: 0.0000 μB per atom